# 1
# Tb2Cd5Pd

A relaxed Tb2Cd5Pd crystal (PBE-GGA, Alexandria).

a b c (Å): 4.8402 4.8402 10.3625
angles (deg): 76.49 76.49 60.00
Atoms (fractional coordinates):
Tb: 0.0883 0.0883 0.7351
Tb: 0.9117 0.9117 0.2649
Cd: 0.5000 0.5000 0.5000
Cd: 0.3514 0.3514 0.9459
Cd: 0.6486 0.6486 0.0541
Cd: 0.1990 0.1990 0.4031
Cd: 0.8010 0.8010 0.5969
Pd: 0.0000 0.0000 0.0000

* symmetry: R-3m (166)
* DFT formation energy: -0.21 eV per atom



# 2
# Pr4GeOsCl2

A relaxed Pr4GeOsCl2 crystal (PBE-GGA, Alexandria).

a b c (Å): 4.1966 7.7033 7.5013
angles (deg): 72.24 90.00 90.00
Atoms (fractional coordinates):
Pr: 0.0000 0.7081 0.7409
Pr: 0.0000 0.2919 0.2591
Pr: 0.5000 0.7122 0.2708
Pr: 0.5000 0.2878 0.7292
Ge: 0.5000 0.5000 0.0000
Os: 0.0000 0.5000 0.5000
Cl: 0.0000 0.0000 0.0000
Cl: 0.5000 0.0000 0.5000

* symmetry: P2/m (10)
* E_form (uncorrected): -8.0 eV per formula unit